--- a ---
VASP calculation (PBE) on an optimized crystal structure of Ag2SbSe2.

Summary:
crystal system = monoclinic
calculated density = 6.56 g/cm3
DOS at the Fermi energy = 0.2102 states/eV/atom
spin magnetization = 0.00 μB per cell

Cell: 6.921 7.793 9.351 Å, 90.00 83.92 90.00°
Positions (direct):
Sb (0.567, 0.601, 0.699)
Ag (0.719, 0.143, 0.719)
Ag (0.378, 0.772, 0.940)
Se (0.854, 0.394, 0.866)
Ag (0.878, 0.728, 0.940)
Se (0.240, 0.120, 0.461)
Ag (0.781, 0.643, 0.281)
Ag (0.219, 0.357, 0.719)
Se (0.354, 0.106, 0.866)
Ag (0.622, 0.228, 0.060)
Se (0.260, 0.620, 0.539)
Se (0.146, 0.606, 0.134)
Sb (0.933, 0.101, 0.301)
Ag (0.281, 0.857, 0.281)
Se (0.646, 0.894, 0.134)
Ag (0.122, 0.272, 0.060)
Sb (0.433, 0.399, 0.301)
Se (0.760, 0.880, 0.539)
Se (0.740, 0.380, 0.461)
Sb (0.067, 0.899, 0.699)

--- b ---
VASP calculation (PBE) on an optimized crystal structure of Ag2SbSe2.

Summary:
crystal system = tetragonal
calculated density = 7.67 g/cm3
DOS at the Fermi energy = 0.3427 states/eV/atom
spin magnetization = 0.00 μB per cell

Cell: 7.811 7.811 3.517 Å, 90.00 90.00 90.00°
Positions (direct):
Se (0.827, 0.327, 0.500)
Sb (0.500, 0.500, 0.000)
Se (0.327, 0.173, 0.500)
Ag (0.371, 0.871, 0.000)
Se (0.673, 0.827, 0.500)
Sb (0.000, 0.000, 0.000)
Ag (0.129, 0.371, 0.000)
Se (0.173, 0.673, 0.500)
Ag (0.629, 0.129, 0.000)
Ag (0.871, 0.629, 0.000)

Stability check: which of them is most stable? a.

--- a ---
VASP calculation (PBE) on an optimized crystal structure of Ag2SbSe3.

Summary:
crystal system = monoclinic
calculated density = 6.66 g/cm3
DOS at the Fermi energy = 0.4340 states/eV/atom
spin magnetization = 0.00 μB per cell

Cell: 5.608 8.315 12.294 Å, 90.00 90.00 90.03°
Positions (direct):
Se (0.751, 0.344, 0.743)
Se (0.751, 0.844, 0.757)
Ag (0.750, 0.125, 0.585)
Se (0.250, 0.617, 0.939)
Se (0.249, 0.656, 0.257)
Sb (0.250, 0.354, 0.416)
Ag (0.250, 0.375, 0.085)
Ag (0.749, 0.640, 0.259)
Ag (0.749, 0.140, 0.241)
Sb (0.750, 0.146, 0.916)
Se (0.749, 0.883, 0.104)
Se (0.251, 0.617, 0.604)
Se (0.251, 0.117, 0.896)
Ag (0.250, 0.875, 0.415)
Se (0.750, 0.383, 0.061)
Ag (0.251, 0.860, 0.759)
Se (0.250, 0.117, 0.561)
Se (0.750, 0.883, 0.439)
Ag (0.251, 0.360, 0.741)
Sb (0.750, 0.646, 0.584)
Se (0.749, 0.383, 0.396)
Sb (0.250, 0.854, 0.084)
Se (0.249, 0.156, 0.243)
Ag (0.750, 0.625, 0.915)

--- b ---
VASP calculation (PBE) on an optimized crystal structure of Ag2SbSe3.

Summary:
crystal system = orthorhombic
calculated density = 5.35 g/cm3
DOS at the Fermi energy = 0.6747 states/eV/atom
spin magnetization = 0.00 μB per cell

Cell: 7.018 7.482 7.482 Å, 114.83 90.00 90.00°
Positions (direct):
Se (0.440, 0.180, 0.514)
Ag (0.064, 0.168, 0.512)
Se (0.910, 0.203, 0.203)
Ag (0.064, 0.512, 0.168)
Se (0.410, 0.797, 0.797)
Sb (0.540, 0.178, 0.178)
Ag (0.564, 0.832, 0.488)
Se (0.440, 0.514, 0.180)
Ag (0.564, 0.488, 0.832)
Sb (0.040, 0.822, 0.822)
Se (0.940, 0.486, 0.820)
Se (0.940, 0.820, 0.486)

Stability check: which of them is most stable? a.

--- a ---
VASP calculation (PBE) on an optimized crystal structure of AgSb2TeSe.

Summary:
crystal system = tetragonal
calculated density = 5.71 g/cm3
DOS at the Fermi energy = 1.1810 states/eV/atom
spin magnetization = 0.74 μB per cell

Cell: 5.459 5.459 5.445 Å, 90.00 90.00 90.00°
Positions (direct):
Te (0.000, 0.000, 0.500)
Sb (0.000, 0.500, 0.000)
Se (0.000, 0.000, 0.000)
Sb (0.500, 0.000, 0.000)
Ag (0.500, 0.500, 0.500)

--- b ---
VASP calculation (PBE) on an optimized crystal structure of AgSb2TeSe.

Summary:
crystal system = tetragonal
calculated density = 6.02 g/cm3
DOS at the Fermi energy = 1.2361 states/eV/atom
spin magnetization = 0.00 μB per cell

Cell: 5.388 5.388 5.303 Å, 90.00 90.00 90.00°
Positions (direct):
Te (0.000, 0.000, 0.500)
Sb (0.000, 0.500, 0.000)
Se (0.500, 0.500, 0.500)
Sb (0.500, 0.000, 0.000)
Ag (0.000, 0.000, 0.000)

Stability check: which of them is most stable? a.

--- a ---
VASP calculation (PBE) on an optimized crystal structure of Si2AgSb2.

Summary:
crystal system = tetragonal
calculated density = 6.20 g/cm3
DOS at the Fermi energy = 0.5128 states/eV/atom
spin magnetization = 0.00 μB per cell

Cell: 7.325 7.325 4.069 Å, 90.00 90.00 90.00°
Positions (direct):
Si (0.117, 0.383, 0.000)
Sb (0.208, 0.708, 0.500)
Si (0.617, 0.117, 0.000)
Ag (0.500, 0.500, 0.000)
Sb (0.292, 0.208, 0.500)
Si (0.383, 0.883, 0.000)
Sb (0.708, 0.792, 0.500)
Si (0.883, 0.617, 0.000)
Ag (0.000, 0.000, 0.000)
Sb (0.792, 0.292, 0.500)

--- b ---
VASP calculation (PBE) on an optimized crystal structure of Si2AgSb2.

Summary:
crystal system = tetragonal
calculated density = 6.30 g/cm3
DOS at the Fermi energy = 0.3524 states/eV/atom
spin magnetization = 0.00 μB per cell

Cell: 3.488 3.488 9.172 Å, 79.04 79.04 90.00°
Positions (direct):
Sb (0.604, 0.604, 0.791)
Sb (0.396, 0.396, 0.209)
Ag (0.000, 0.000, 0.000)
Si (0.250, 0.750, 0.500)
Si (0.750, 0.250, 0.500)

Stability check: which of them is most stable? b.

--- a ---
VASP calculation (PBE) on an optimized crystal structure of SiAgSbTe2.

Summary:
crystal system = tetragonal
calculated density = 5.48 g/cm3
DOS at the Fermi energy = 0.9994 states/eV/atom
spin magnetization = 0.00 μB per cell

Cell: 5.453 5.453 5.229 Å, 90.00 90.00 90.00°
Positions (direct):
Te (0.500, 0.000, 0.000)
Ag (0.000, 0.000, 0.000)
Si (0.500, 0.500, 0.500)
Sb (0.000, 0.000, 0.500)
Te (0.000, 0.500, 0.000)

--- b ---
VASP calculation (PBE) on an optimized crystal structure of SiAgSbTe2.

Summary:
crystal system = tetragonal
calculated density = 5.81 g/cm3
DOS at the Fermi energy = 0.7074 states/eV/atom
spin magnetization = 0.00 μB per cell

Cell: 5.296 5.296 5.228 Å, 90.00 90.00 90.00°
Positions (direct):
Ag (0.500, 0.500, 0.500)
Te (0.000, 0.500, 0.000)
Sb (0.000, 0.000, 0.500)
Si (0.000, 0.000, 0.000)
Te (0.500, 0.000, 0.000)

Stability check: which of them is most stable? b.

--- a ---
VASP calculation (PBE) on an optimized crystal structure of Ag3SnSb.

Summary:
crystal system = triclinic
calculated density = 8.47 g/cm3
DOS at the Fermi energy = 0.3740 states/eV/atom
spin magnetization = 0.00 μB per cell

Cell: 4.405 8.528 5.972 Å, 80.21 90.01 90.29°
Positions (direct):
Ag (0.980, 0.442, 0.007)
Sn (0.477, 0.287, 0.780)
Sn (0.974, 0.066, 0.122)
Sb (0.482, 0.616, 0.216)
Sb (0.969, 0.737, 0.685)
Ag (0.471, 0.902, 0.410)
Ag (0.477, 0.257, 0.296)
Ag (0.472, 0.910, 0.895)
Ag (0.975, 0.095, 0.606)
Ag (0.980, 0.451, 0.491)

--- b ---
VASP calculation (PBE) on an optimized crystal structure of Ag3SnSb.

Summary:
crystal system = cubic
calculated density = 6.50 g/cm3
DOS at the Fermi energy = 0.5624 states/eV/atom
spin magnetization = 0.00 μB per cell

Cell: 5.242 5.242 5.242 Å, 90.00 90.00 90.00°
Positions (direct):
Ag (0.000, 0.000, 0.500)
Ag (0.000, 0.500, 0.000)
Sb (0.000, 0.000, 0.000)
Sn (0.500, 0.500, 0.500)
Ag (0.500, 0.000, 0.000)

Stability check: which of them is most stable? a.

--- a ---
VASP calculation (PBE) on an optimized crystal structure of SrAgSb3.

Summary:
crystal system = cubic
calculated density = 5.72 g/cm3
DOS at the Fermi energy = 0.6918 states/eV/atom
spin magnetization = 0.00 μB per cell

Cell: 5.461 5.461 5.461 Å, 90.00 90.00 90.00°
Positions (direct):
Ag (0.000, 0.000, 0.000)
Sr (0.500, 0.500, 0.500)
Sb (0.000, 0.000, 0.500)
Sb (0.000, 0.500, 0.000)
Sb (0.500, 0.000, 0.000)

--- b ---
VASP calculation (PBE) on an optimized crystal structure of SrAgSb3.

Summary:
crystal system = cubic
calculated density = 4.32 g/cm3
DOS at the Fermi energy = 0.3317 states/eV/atom
spin magnetization = 0.00 μB per cell

Cell: 5.997 5.997 5.997 Å, 90.00 90.00 90.00°
Positions (direct):
Sr (0.000, 0.000, 0.000)
Sb (0.500, 0.000, 0.000)
Ag (0.500, 0.500, 0.500)
Sb (0.000, 0.500, 0.000)
Sb (0.000, 0.000, 0.500)

Stability check: which of them is most stable? a.

--- a ---
VASP calculation (PBE) on an optimized crystal structure of SrAg4Sb2.

Summary:
crystal system = trigonal
calculated density = 7.58 g/cm3
DOS at the Fermi energy = 0.1413 states/eV/atom
spin magnetization = 0.00 μB per cell

Cell: 8.872 8.872 8.872 Å, 31.28 31.28 31.28°
Positions (direct):
Ag (0.857, 0.857, 0.857)
Sb (0.256, 0.256, 0.256)
Ag (0.434, 0.434, 0.434)
Sr (0.000, 0.000, 0.000)
Ag (0.143, 0.143, 0.143)
Sb (0.744, 0.744, 0.744)
Ag (0.566, 0.566, 0.566)

--- b ---
VASP calculation (PBE) on an optimized crystal structure of SrAg4Sb2.

Summary:
crystal system = tetragonal
calculated density = 7.62 g/cm3
DOS at the Fermi energy = 0.2473 states/eV/atom
spin magnetization = 0.00 μB per cell

Cell: 4.551 8.548 8.548 Å, 90.00 90.00 90.00°
Positions (direct):
Sb (0.500, 0.717, 0.717)
Sb (0.000, 0.783, 0.217)
Sr (0.500, 0.000, 0.000)
Ag (0.500, 0.151, 0.589)
Ag (0.500, 0.589, 0.151)
Sb (0.000, 0.217, 0.783)
Ag (0.500, 0.411, 0.849)
Ag (0.000, 0.349, 0.089)
Ag (0.000, 0.911, 0.651)
Ag (0.500, 0.849, 0.411)
Ag (0.000, 0.089, 0.349)
Sr (0.000, 0.500, 0.500)
Sb (0.500, 0.283, 0.283)
Ag (0.000, 0.651, 0.911)

Stability check: which of them is most stable? b.

--- a ---
VASP calculation (PBE) on an optimized crystal structure of SrAgSb2Te.

Summary:
crystal system = tetragonal
calculated density = 4.24 g/cm3
DOS at the Fermi energy = 0.8712 states/eV/atom
spin magnetization = 0.00 μB per cell

Cell: 6.066 6.066 6.024 Å, 90.00 90.00 90.00°
Positions (direct):
Te (0.000, 0.000, 0.500)
Sb (0.500, 0.000, 0.000)
Sr (0.000, 0.000, 0.000)
Sb (0.000, 0.500, 0.000)
Ag (0.500, 0.500, 0.500)

--- b ---
VASP calculation (PBE) on an optimized crystal structure of SrAgSb2Te.

Summary:
crystal system = tetragonal
calculated density = 5.70 g/cm3
DOS at the Fermi energy = 0.6500 states/eV/atom
spin magnetization = 0.00 μB per cell

Cell: 5.380 5.380 5.708 Å, 90.00 90.00 90.00°
Positions (direct):
Ag (0.000, 0.000, 0.000)
Sb (0.500, 0.000, 0.000)
Sr (0.500, 0.500, 0.500)
Sb (0.000, 0.500, 0.000)
Te (0.000, 0.000, 0.500)

Stability check: which of them is most stable? b.

--- a ---
VASP calculation (PBE) on an optimized crystal structure of TaAg3Sb.

Summary:
crystal system = cubic
calculated density = 8.16 g/cm3
DOS at the Fermi energy = 1.0138 states/eV/atom
spin magnetization = 0.00 μB per cell

Cell: 5.032 5.032 5.032 Å, 90.00 90.00 90.00°
Positions (direct):
Ag (0.000, 0.500, 0.000)
Ag (0.500, 0.000, 0.000)
Sb (0.000, 0.000, 0.000)
Ag (0.000, 0.000, 0.500)
Ta (0.500, 0.500, 0.500)

--- b ---
VASP calculation (PBE) on an optimized crystal structure of TaAg3Sb.

Summary:
crystal system = cubic
calculated density = 7.64 g/cm3
DOS at the Fermi energy = 1.3007 states/eV/atom
spin magnetization = 0.00 μB per cell

Cell: 5.143 5.143 5.143 Å, 90.00 90.00 90.00°
Positions (direct):
Ag (0.500, 0.000, 0.000)
Sb (0.500, 0.500, 0.500)
Ta (0.000, 0.000, 0.000)
Ag (0.000, 0.000, 0.500)
Ag (0.000, 0.500, 0.000)

Stability check: which of them is most stable? b.

--- a ---
VASP calculation (PBE) on an optimized crystal structure of TcAgSb3.

Summary:
crystal system = cubic
calculated density = 6.38 g/cm3
DOS at the Fermi energy = 0.9034 states/eV/atom
spin magnetization = 3.28 μB per cell

Cell: 5.298 5.298 5.298 Å, 90.00 90.00 90.00°
Positions (direct):
Sb (0.000, 0.000, 0.500)
Sb (0.500, 0.000, 0.000)
Tc (0.500, 0.500, 0.500)
Sb (0.000, 0.500, 0.000)
Ag (0.000, 0.000, 0.000)

--- b ---
VASP calculation (PBE) on an optimized crystal structure of TcAgSb3.

Summary:
crystal system = cubic
calculated density = 6.88 g/cm3
DOS at the Fermi energy = 0.9750 states/eV/atom
spin magnetization = 0.62 μB per cell

Cell: 5.165 5.165 5.165 Å, 90.00 90.00 90.00°
Positions (direct):
Tc (0.000, 0.000, 0.000)
Sb (0.500, 0.000, 0.000)
Sb (0.000, 0.500, 0.000)
Sb (0.000, 0.000, 0.500)
Ag (0.500, 0.500, 0.500)

Stability check: which of them is most stable? b.

--- a ---
VASP calculation (PBE) on an optimized crystal structure of AgSb2Te3.

Summary:
crystal system = orthorhombic
calculated density = 5.65 g/cm3
DOS at the Fermi energy = 0.2319 states/eV/atom
spin magnetization = 0.00 μB per cell

Cell: 6.430 8.313 8.313 Å, 103.81 90.00 90.00°
Positions (direct):
Ag (0.027, 0.839, 0.839)
Sb (0.489, 0.518, 0.825)
Sb (0.489, 0.825, 0.518)
Te (0.486, 0.877, 0.877)
Te (0.483, 0.163, 0.503)
Sb (0.989, 0.175, 0.482)
Sb (0.989, 0.482, 0.175)
Te (0.483, 0.503, 0.163)
Te (0.986, 0.123, 0.123)
Te (0.983, 0.497, 0.837)
Te (0.983, 0.837, 0.497)
Ag (0.527, 0.161, 0.161)

--- b ---
VASP calculation (PBE) on an optimized crystal structure of AgSb2Te3.

Summary:
crystal system = orthorhombic
calculated density = 6.81 g/cm3
DOS at the Fermi energy = 0.3860 states/eV/atom
spin magnetization = 0.00 μB per cell

Cell: 4.351 6.275 7.585 Å, 114.43 106.67 90.00°
Positions (direct):
Te (0.164, 0.664, 0.828)
Te (0.836, 0.336, 0.172)
Sb (0.171, 0.171, 0.842)
Te (0.500, 0.000, 0.500)
Ag (0.500, 0.500, 0.500)
Sb (0.829, 0.829, 0.158)

Stability check: which of them is most stable? b.